{"formula": "Nd2Y8In", "functional": "PBE", "state": "relaxed", "total_magnetization_mub_per_cell": 0.0, "de_polymorph_kcal_per_mol_atoms": 0.000, "dos_ef_per_ev_atom": 1.47, "formation_enthalpy_0k_ev_per_atom": -0.0608, "dft_energy_ev_per_atom": -5.88, "space_group": "C2/m", "lattice_angstrom": [[9.774, -2.795, 0.000], [9.774, 2.795, 0.000], [-0.542, 0.000, 6.499]], "species": ["Nd", "Nd", "Y", "Y", "Y", "Y", "Y", "Y", "Y", "Y", "In"], "frac_coords": [[0.243, 0.243, 0.336], [0.757, 0.757, 0.664], [0.044, 0.044, 0.264], [0.152, 0.152, 0.811], [0.340, 0.340, 0.877], [0.422, 0.422, 0.401], [0.578, 0.578, 0.599], [0.660, 0.660, 0.123], [0.848, 0.848, 0.189], [0.956, 0.956, 0.736], [0.500, 0.500, 0.000]]}